Compound: Al2InRh
Source: Alexandria via LeMat-Bulk
Functional: PBE-GGA
Structure: optimized geometry

Cell lengths 3.3728, 4.5326, 8.8189 Å; angles 90.00, 90.00, 90.00 degrees
Fractional positions:
Al1 0.0000 0.0000 0.0000
Al2 0.0000 0.5000 0.2397
Al3 0.5000 0.0000 0.7397
Al4 0.5000 0.5000 0.5000
In1 0.0000 0.5000 0.7686
In2 0.5000 0.0000 0.2686
Rh1 0.0000 0.0000 0.5255
Rh2 0.5000 0.5000 0.0255

Properties
total DFT energy (no corrections) = -0.169 hartree per atom
mass density = 6.7 g/cm³
magnetization = 0.00 Bohr magnetons per cell